Compound: Zr4BiSb
Source: OQMD via LeMat-Bulk
Functional: PBE
Structure: relaxed

The structure belongs to space group I4mm (No. 107); the cell edges are 4.172, 4.172 and 16.099 Å and the angles 90.00°, 90.00° and 90.00°. The asymmetric unit holds Zr at (0.000, 0.000, 0.000), Zr at (0.000, 0.000, 0.353), Zr at (0.000, 0.500, 0.182), Bi at (0.000, 0.000, 0.540) and Sb at (0.000, 0.000, 0.818).

For the total energy, the calculation gives -7.55 eV/atom.